[1]
Material: LiAcHg
Method: DFT, PBE-GGA
State: relaxed

Cell lengths 3.943, 3.943, 6.143 Å; angles 108.72, 108.72, 90.00 degrees
Positions (direct):
Hg  0.644  0.644  0.287
Li  0.252  0.252  0.505
Ac  0.954  0.954  0.908

Excess energy over the best structure of this formula in the dataset (meV/atom): 91
Total magnetic moment (μB/cell): 0.00
D(E_F) (states/eV/atom): 0.694

[2]
Material: Li3Ac2Hg2
Method: DFT, PBE-GGA
State: relaxed

Cell lengths 4.753, 6.267, 7.498 Å; angles 111.39, 90.00, 112.29 degrees
Positions (direct):
Li  0.500  0.000  0.000
Li  0.631  0.261  0.426
Li  0.369  0.739  0.574
Ac  0.140  0.280  0.771
Ac  0.860  0.720  0.229
Hg  0.853  0.707  0.774
Hg  0.147  0.293  0.226

Total magnetic moment (μB/cell): 0.00
D(E_F) (states/eV/atom): 0.788
Total energy (eV/f.u.): -16.57